# FeIrN2F, optimized geometry, DFT PBE with a Hubbard U
data_FeIrN2F
_symmetry_space_group_name_H-M 'P 4/m m m'
_symmetry_Int_Tables_number 123
_symmetry_space_group_name_Hall '-P 4 2'
_cell_length_a 3.699
_cell_length_b 3.699
_cell_length_c 5.760
_cell_angle_alpha 90.00
_cell_angle_beta 90.00
_cell_angle_gamma 90.00
loop_
_atom_site_label
_atom_site_fract_x
_atom_site_fract_y
_atom_site_fract_z
Fe1 0.000 0.000 0.000
Ir1 0.500 0.500 0.500
N1 0.000 0.500 0.500
F1 0.500 0.500 0.000
# Offset from the most stable computed form = 0 meV/atom
# Magnetization = 4.1 μB per cell
# Calculated density = 6.22 Mg/m³
# Raw total energy = -6.088 eV/atom